Record 1
{
  "formula": "MnFe2PdO6",
  "functional": "PBE with a Hubbard U",
  "state": "optimized geometry",
  "spacegroup": "No. 146",
  "final_energy_ry_per_atom": -0.469,
  "lattice": [[-3.537, 3.648, -0.954], [-3.482, -0.696, -3.756], [-5.232, -1.020, 1.482]],
  "species": ["O", "O", "O", "O", "O", "O", "Mn", "Fe", "Fe", "Pd"],
  "fractional_positions": [[0.381, 0.731, 0.757], [0.131, 0.381, 0.757], [0.620, 0.229, 0.240], [0.731, 0.131, 0.757], [0.911, 0.620, 0.240], [0.229, 0.911, 0.240], [0.802, 0.802, 0.594], [0.525, 0.525, 0.426], [0.009, 0.009, 0.974], [0.323, 0.323, 0.032]]
}

---

Record 2
{
  "formula": "PmMnFe2O6",
  "functional": "PBE with a Hubbard U",
  "state": "optimized geometry",
  "spacegroup": "No. 1",
  "final_energy_ry_per_atom": -0.533,
  "lattice": [[-4.241, -0.999, 3.347], [0.760, -2.092, 4.820], [-0.896, 3.228, 4.714]],
  "species": ["O", "O", "O", "O", "O", "O", "Mn", "Fe", "Fe", "Pm"],
  "fractional_positions": [[0.644, 0.247, 0.229], [0.249, 0.914, 0.232], [0.348, 0.720, 0.756], [0.177, 0.352, 0.723], [0.913, 0.606, 0.241], [0.712, 0.162, 0.774], [0.308, 0.321, 0.048], [0.521, 0.530, 0.422], [0.006, 0.020, 0.958], [0.784, 0.789, 0.631]]
}

---

Record 3
{
  "formula": "Pm2MnFeO5",
  "functional": "PBE with a Hubbard U",
  "state": "optimized geometry",
  "spacegroup": "No. 36",
  "final_energy_ry_per_atom": -0.569,
  "lattice": [[-2.611, -0.757, -2.080], [5.369, -3.700, -2.576], [-2.452, -7.637, 5.858]],
  "species": ["O", "O", "O", "O", "O", "O", "O", "O", "O", "O", "Pm", "Pm", "Pm", "Pm", "Fe", "Fe", "Mn", "Mn"],
  "fractional_positions": [[0.312, 0.624, 0.356], [0.946, 0.892, 0.571], [0.688, 0.376, 0.856], [0.633, 0.266, 0.505], [0.286, 0.572, 0.662], [0.054, 0.108, 0.071], [0.496, 0.992, 0.779], [0.504, 0.008, 0.279], [0.367, 0.734, 0.005], [0.714, 0.428, 0.162], [0.864, 0.727, 0.791], [0.887, 0.773, 0.188], [0.113, 0.227, 0.688], [0.136, 0.273, 0.291], [0.534, 0.068, 0.971], [0.466, 0.932, 0.471], [0.790, 0.581, 0.501], [0.210, 0.419, 0.001]]
}

---

Record 4
{
  "formula": "PuMnFeO6",
  "functional": "PBE with a Hubbard U",
  "state": "optimized geometry",
  "spacegroup": "No. 163",
  "final_energy_ry_per_atom": -0.606,
  "lattice": [[5.284, 0.000, 0.000], [-2.642, 4.576, 0.000], [0.000, 0.000, 9.288]],
  "species": ["O", "O", "O", "O", "O", "O", "O", "O", "O", "O", "O", "O", "Pu", "Pu", "Mn", "Mn", "Fe", "Fe"],
  "fractional_positions": [[0.347, 0.349, 0.866], [0.651, 0.998, 0.866], [0.349, 0.002, 0.134], [0.002, 0.349, 0.634], [0.347, 0.998, 0.634], [0.653, 0.002, 0.366], [0.002, 0.653, 0.866], [0.651, 0.653, 0.634], [0.998, 0.651, 0.366], [0.349, 0.347, 0.366], [0.998, 0.347, 0.134], [0.653, 0.651, 0.134], [0.333, 0.667, 0.750], [0.667, 0.333, 0.250], [0.000, 0.000, 0.000], [0.000, 0.000, 0.500], [0.333, 0.667, 0.250], [0.667, 0.333, 0.750]]
}

---

Record 5
{
  "formula": "PuMnFe2O6",
  "functional": "PBE with a Hubbard U",
  "state": "optimized geometry",
  "spacegroup": "No. 14",
  "final_energy_ry_per_atom": -0.600,
  "lattice": [[-0.088, 5.115, -2.107], [-4.392, 1.158, 2.995], [4.739, 2.528, 5.971]],
  "species": ["Fe", "Fe", "Fe", "Fe", "Mn", "Mn", "O", "O", "O", "O", "O", "O", "O", "O", "O", "O", "O", "O", "Pu", "Pu"],
  "fractional_positions": [[0.521, 0.470, 0.227], [0.979, 0.970, 0.273], [0.021, 0.030, 0.727], [0.479, 0.530, 0.773], [0.000, 0.500, 0.500], [0.500, 0.000, 0.000], [0.664, 0.328, 0.944], [0.378, 0.897, 0.748], [0.849, 0.815, 0.916], [0.878, 0.603, 0.248], [0.622, 0.103, 0.252], [0.151, 0.185, 0.084], [0.122, 0.397, 0.752], [0.651, 0.315, 0.584], [0.336, 0.672, 0.056], [0.836, 0.828, 0.556], [0.164, 0.172, 0.444], [0.349, 0.685, 0.416], [0.000, 0.500, 0.000], [0.500, 0.000, 0.500]]
}

---

Record 6
{
  "formula": "PuMn2FeO8",
  "functional": "PBE with a Hubbard U",
  "state": "optimized geometry",
  "spacegroup": "No. 65",
  "final_energy_ry_per_atom": -0.588,
  "lattice": [[-0.190, -4.841, -0.429], [4.656, 0.007, 1.413], [-1.763, -0.445, 5.812]],
  "species": ["O", "O", "O", "O", "O", "O", "O", "O", "Pu", "Fe", "Mn", "Mn"],
  "fractional_positions": [[0.316, 0.316, 0.000], [0.815, 0.184, 0.246], [0.684, 0.684, 0.000], [0.185, 0.816, 0.246], [0.185, 0.816, 0.754], [0.692, 0.691, 0.500], [0.308, 0.309, 0.500], [0.815, 0.184, 0.754], [0.000, 0.000, 0.000], [0.000, 0.000, 0.500], [0.500, 0.500, 0.742], [0.500, 0.500, 0.258]]
}